[1]
VASP calculation (PBE) on TbEu2Sc after structural relaxation.

Cell lengths 3.5767, 3.5767, 10.3759 Å; angles 90.00, 90.00, 90.00 degrees
Last column: nearest neighbours and their distance in Å.
Space group P4/mmm (No. 123)
Asymmetric unit:
Tb (0.0000, 0.0000, 0.0000) (multiplicity 1)  4 Tb 3.58, 8 Eu 3.71
Eu (0.5000, 0.5000, 0.2616) (multiplicity 2)  4 Sc 3.54, 4 Eu 3.58, 4 Tb 3.71
Sc (0.0000, 0.0000, 0.5000) (multiplicity 1)  8 Eu 3.54, 4 Sc 3.58

Results
Calculated total energy ... -7.710 eV per atom
Formation energy from the elements ... 0.168 eV/atom
ΔE to the lowest computed polymorph ... 0 kJ/mol of formula units
Mass density ... 6.35 Mg/m³

***

[2]
VASP calculation (PBE) on TbEuSc after structural relaxation.

Cell lengths 3.5441, 3.5441, 8.6367 Å; angles 90.00, 90.00, 120.00 degrees
Last column: nearest neighbours and their distance in Å.
Space group P3m1 (No. 156)
Asymmetric unit:
Tb (0.0000, 0.0000, 0.0000) (multiplicity 1)  3 Sc 3.32, 6 Tb 3.54
Eu (0.6667, 0.3333, 0.3624) (multiplicity 1)  6 Eu 3.54, 3 Sc 3.54, 3 Tb 3.74
Sc (0.3333, 0.6667, 0.6975) (multiplicity 1)  3 Tb 3.32, 6 Sc 3.54, 3 Eu 3.54

Results
Calculated total energy ... -6.969 eV per atom
Formation energy from the elements ... 0.110 eV/atom
ΔE to the lowest computed polymorph ... 2 kJ/mol of formula units
Mass density ... 6.29 Mg/m³

***

[3]
VASP calculation (PBE) on TbEuSc2 after structural relaxation.

Cell lengths 7.7516, 7.7516, 7.7516 Å; angles 90.00, 90.00, 90.00 degrees
Last column: nearest neighbours and their distance in Å.
Space group Fm-3m (No. 225)
Asymmetric unit:
Tb (0.0000, 0.0000, 0.0000) (multiplicity 4)  8 Sc 3.36
Eu (0.0000, 0.0000, 0.5000) (multiplicity 4)  8 Sc 3.36
Sc (0.2500, 0.2500, 0.2500) (multiplicity 8)  4 Tb 3.36, 4 Eu 3.36

Results
Calculated total energy ... -6.725 eV per atom
Formation energy from the elements ... 0.167 eV/atom
ΔE to the lowest computed polymorph ... 17 kJ/mol of formula units
Mass density ... 5.72 Mg/m³

***

- Number 1 is which compound?
  TbEu2Sc

***

Copy entry 1 word for word.
VASP calculation (PBE) on TbEu2Sc after structural relaxation.

Cell lengths 3.5767, 3.5767, 10.3759 Å; angles 90.00, 90.00, 90.00 degrees
Last column: nearest neighbours and their distance in Å.
Space group P4/mmm (No. 123)
Asymmetric unit:
Tb (0.0000, 0.0000, 0.0000) (multiplicity 1)  4 Tb 3.58, 8 Eu 3.71
Eu (0.5000, 0.5000, 0.2616) (multiplicity 2)  4 Sc 3.54, 4 Eu 3.58, 4 Tb 3.71
Sc (0.0000, 0.0000, 0.5000) (multiplicity 1)  8 Eu 3.54, 4 Sc 3.58

Results
Calculated total energy ... -7.710 eV per atom
Formation energy from the elements ... 0.168 eV/atom
ΔE to the lowest computed polymorph ... 0 kJ/mol of formula units
Mass density ... 6.35 Mg/m³

***

- What is the calculated total energy in the first record?
  -7.710 eV per atom